Record 1
This record from Alexandria describes crystalline LiAlHg at its relaxed geometry. The functional is GGA-PBE.

Structure (POSCAR):
```
LiAlHg
1.0
-1.791 1.791 4.223
1.791 -1.791 4.223
1.791 1.791 -4.223
Li Al Hg
1 1 1
direct
0.000 0.000 0.000
0.330 0.330 0.000
0.663 0.663 0.000
```

Computed properties:
* formation energy: -0.126 eV/atom
* offset from the most stable computed form: 34 meV per atom

---

Record 2
This record from Alexandria describes crystalline TbPr6Er5 at its relaxed geometry. The functional is GGA-PBE.

Structure (POSCAR):
```
TbPr6Er5
1.0
2.578 -7.750 0.000
2.578 7.750 0.000
0.000 0.000 10.016
Tb Pr Er
1 6 5
direct
0.000 0.000 0.000
0.167 0.833 0.251
0.167 0.833 0.749
0.500 0.500 0.251
0.500 0.500 0.749
0.833 0.167 0.251
0.833 0.167 0.749
0.000 0.000 0.500
0.333 0.667 0.000
0.333 0.667 0.500
0.667 0.333 0.000
0.667 0.333 0.500
```

Computed properties:
* formation energy: 0.018 eV/atom

---

Record 3
This record from Alexandria describes crystalline TcB2P at its relaxed geometry. The functional is GGA-PBE.

Structure (POSCAR):
```
TcB2P
1.0
-2.419 2.419 4.314
2.419 -2.419 4.314
2.419 2.419 -4.314
Tc B P
2 4 2
direct
0.000 0.000 0.000
0.750 0.250 0.500
0.149 0.625 0.024
0.375 0.399 0.524
0.601 0.125 0.976
0.875 0.851 0.476
0.250 0.750 0.500
0.500 0.500 0.000
```

Computed properties:
* formation energy: 0.451 eV/atom

---

Record 4
This record from Alexandria describes crystalline BaLa3I at its relaxed geometry. The functional is GGA-PBE.

Structure (POSCAR):
```
BaLa3I
1.0
6.052 0.000 0.000
0.000 6.052 0.000
0.000 0.000 6.052
Ba La I
1 3 1
direct
0.000 0.000 0.000
0.000 0.000 0.500
0.000 0.500 0.000
0.500 0.000 0.000
0.500 0.500 0.500
```

Computed properties:
* uncorrected formation energy: 613 meV/atom
* offset from the most stable computed form: 739 meV per atom

---

Number 1: DFT total energy -2.112 eV per atom, M_tot 0.0000 μB per atom. Number 2: DFT total energy -4.659 eV per atom, M_tot 0.0000 μB per atom. Number 3: DFT total energy -6.831 eV per atom, M_tot 0.0015 μB per atom. Number 4: DFT total energy -3.038 eV per atom, M_tot 0.0000 μB per atom.